1.
Below is a relaxed structure of BaSrCd2, with properties calculated at the PBE-GGA level.

The structure in POSCAR format:
```
BaSrCd2
1.0
4.1386 0.0000 0.0000
0.0000 4.1475 0.0000
-0.0100 0.0000 8.3770
Ba Sr Cd
1 1 2
direct
0.0000 0.0000 0.0000
0.0000 0.0000 0.5000
0.5002 0.5000 0.2657
0.4998 0.5000 0.7343
```

Magnetization, μB/f.u.: 0.000
E, eV per cell: -6.74
Formation energy from the elements, eV per formula unit: -1.31
D(E_F), states/eV/cell: 2.58
SG: No. 10

=====

2.
Below is a relaxed structure of BeNb2Co2, with properties calculated at the PBE-GGA level.

The structure in POSCAR format:
```
BeNb2Co2
1.0
6.6790 0.0000 0.0000
0.0000 6.6790 0.0000
0.0000 0.0000 3.1100
Be Nb Co
2 4 4
direct
0.0000 0.0000 0.0000
0.5000 0.5000 0.0000
0.1770 0.3230 0.5000
0.3230 0.8230 0.5000
0.6770 0.1770 0.5000
0.8230 0.6770 0.5000
0.1298 0.6298 0.0000
0.3702 0.1298 0.0000
0.6298 0.8702 0.0000
0.8702 0.3702 0.0000
```

Magnetization, μB/f.u.: 0.000
E, eV per cell: -76.49
Formation energy from the elements, eV per formula unit: -0.17
D(E_F), states/eV/cell: 6.88
SG: No. 127